Here is a geometry-optimized Tm3CuSi3 structure from Alexandria. Energies are from PBE-GGA.

```
data_Tm3CuSi3
_chemical_formula_sum 'Tm12 Cu4 Si12'
_cell_length_a 10.279
_cell_length_b 4.174
_cell_length_c 13.426
_cell_angle_alpha 90.00
_cell_angle_beta 110.52
_cell_angle_gamma 90.00
_space_group_name_H-M_alt 'C 1 2/m 1'
_space_group_IT_number 12
_space_group_name_Hall '-C 2y'
loop_
_atom_site_label
_atom_site_type_symbol
_atom_site_fract_x
_atom_site_fract_y
_atom_site_fract_z
_atom_site_occupancy
Tm1 Tm 0.031 0.000 0.379 1
Tm2 Tm 0.104 0.000 0.923 1
Tm3 Tm 0.245 0.000 0.224 1
Cu1 Cu 0.244 0.500 0.399 1
Si1 Si 0.038 0.500 0.231 1
Si2 Si 0.114 0.500 0.076 1
Si3 Si 0.131 0.500 0.545 1
```

Values from the calculation:
- DOS(E_F): 11.39 states/eV/cell
- Total moment: 0.0 μB per formula unit
- Raw formation energy: -5.19 eV/f.u.